Entry from Alexandria: Sm2VF8 after structural relaxation (GGA+U).

Results
**Raw total energy**: -6.530 eV per atom
**SG**: C2/m, No. 12

abc: 7.0013 7.0013 6.1070
angles: 102.02 102.02 30.00
With the nearest neighbours (Å) after each atom.
Atoms (fractional coordinates):
1 Sm 0.1781 0.1781 0.2016  7 F 2.25-2.50
2 Sm 0.8219 0.8219 0.7984  7 F 2.25-2.50
3 V 0.5000 0.5000 0.5000  6 F 2.19-2.29
4 F 0.0226 0.0226 0.3140  2 V 2.19, 1 Sm 2.35
5 F 0.2097 0.2097 0.8355  3 Sm 2.37-2.40, 1 F 2.55
6 F 0.3323 0.3323 0.5136  1 V 2.29, 3 Sm 2.50-2.54
7 F 0.4013 0.4013 0.9717  2 Sm 2.25
8 F 0.5987 0.5987 0.0283  2 Sm 2.25
9 F 0.6677 0.6677 0.4864  1 V 2.29, 3 Sm 2.50-2.54
10 F 0.7903 0.7903 0.1645  3 Sm 2.37-2.40, 1 F 2.55
11 F 0.9774 0.9774 0.6860  2 V 2.19, 1 Sm 2.35